First-principles (PBE) data for a relaxed structure of ErSiSb, as listed in the Alexandria database.

Cell: 6.767 6.767 11.698 Å, 90.00 90.00 120.00°
Fractional positions:
Er: 0.000 0.500 0.397
Er: 0.000 0.500 0.936
Er: 0.500 0.000 0.269
Er: 0.500 0.000 0.731
Er: 0.500 0.500 0.064
Er: 0.500 0.500 0.603
Si: 0.191 0.595 0.167
Si: 0.405 0.595 0.833
Si: 0.405 0.809 0.500
Si: 0.595 0.191 0.500
Si: 0.595 0.405 0.833
Si: 0.809 0.405 0.167
Sb: 0.000 0.000 0.167
Sb: 0.000 0.000 0.500
Sb: 0.000 0.000 0.833
Sb: 0.000 0.500 0.667
Sb: 0.500 0.000 0.000
Sb: 0.500 0.500 0.333

Computed properties:
Total magnetization (Bohr magnetons per cell): 0.00
Crystal system: hexagonal
Fermi-level density of states (states/eV/f.u.): 1.7
E_tot (eV/atom): -4.886

First-principles (PBE) data for a relaxed structure of Er2SiSb, as listed in the Alexandria database.

Cell: 4.374 22.728 4.023 Å, 90.00 90.00 90.00°
Fractional positions:
Er: 0.000 0.060 0.250
Er: 0.000 0.327 0.250
Er: 0.000 0.673 0.750
Er: 0.000 0.940 0.750
Er: 0.500 0.173 0.750
Er: 0.500 0.440 0.750
Er: 0.500 0.560 0.250
Er: 0.500 0.827 0.250
Si: 0.000 0.463 0.250
Si: 0.000 0.537 0.750
Si: 0.500 0.037 0.750
Si: 0.500 0.963 0.250
Sb: 0.000 0.191 0.250
Sb: 0.000 0.809 0.750
Sb: 0.500 0.309 0.750
Sb: 0.500 0.691 0.250

Computed properties:
Total magnetization (Bohr magnetons per cell): 0.00
Crystal system: orthorhombic
Fermi-level density of states (states/eV/f.u.): 1.6
Distance to the lowest polymorph of the same formula (meV per atom): 0

First-principles (PBE) data for a relaxed structure of Er2SiSb, as listed in the Alexandria database.

Cell: 4.119 4.119 21.555 Å, 90.00 90.00 120.00°
Fractional positions:
Er: 0.000 0.000 0.243
Er: 0.000 0.000 0.757
Er: 0.333 0.667 0.423
Er: 0.333 0.667 0.910
Er: 0.667 0.333 0.090
Er: 0.667 0.333 0.577
Si: 0.000 0.000 0.500
Si: 0.333 0.667 0.167
Si: 0.667 0.333 0.833
Sb: 0.000 0.000 0.000
Sb: 0.333 0.667 0.667
Sb: 0.667 0.333 0.333

Computed properties:
Total magnetization (Bohr magnetons per cell): 0.00
Crystal system: trigonal
Fermi-level density of states (states/eV/f.u.): 2.1
Distance to the lowest polymorph of the same formula (meV per atom): 102

First-principles (PBE) data for a relaxed structure of Er5Si2Sb, as listed in the Alexandria database.

Cell: 8.590 8.590 8.590 Å, 126.35 126.35 79.31°
Fractional positions:
Er: 0.000 0.000 0.000
Er: 0.015 0.515 0.811
Er: 0.204 0.015 0.500
Er: 0.296 0.796 0.811
Er: 0.485 0.296 0.500
Er: 0.500 0.500 0.000
Er: 0.515 0.704 0.500
Er: 0.704 0.204 0.189
Er: 0.796 0.985 0.500
Er: 0.985 0.485 0.189
Si: 0.146 0.354 0.500
Si: 0.354 0.854 0.208
Si: 0.646 0.146 0.792
Si: 0.854 0.646 0.500
Sb: 0.250 0.250 0.000
Sb: 0.750 0.750 0.000

Computed properties:
Total magnetization (Bohr magnetons per cell): 0.19
Crystal system: tetragonal
Fermi-level density of states (states/eV/f.u.): 9.7
E_tot (eV/atom): -5.458

First-principles (PBE) data for a relaxed structure of Sm2Er5Sb4, as listed in the Alexandria database.

Cell: 12.645 12.645 7.047 Å, 95.41 95.41 19.43°
Fractional positions:
Sm: 0.054 0.054 0.160
Sm: 0.946 0.946 0.840
Er: 0.169 0.169 0.472
Er: 0.179 0.179 0.970
Er: 0.500 0.500 0.500
Er: 0.821 0.821 0.030
Er: 0.831 0.831 0.528
Sb: 0.070 0.070 0.717
Sb: 0.274 0.274 0.271
Sb: 0.726 0.726 0.729
Sb: 0.930 0.930 0.283

Computed properties:
Total magnetization (Bohr magnetons per cell): 2.28
Crystal system: monoclinic
Fermi-level density of states (states/eV/f.u.): 8.9
E_tot (eV/atom): -4.830

First-principles (PBE) data for a relaxed structure of Sm4ErSb2, as listed in the Alexandria database.

Cell: 5.345 5.345 16.791 Å, 90.00 90.00 90.00°
Fractional positions:
Sm: 0.000 0.000 0.184
Sm: 0.000 0.000 0.816
Sm: 0.000 0.500 0.000
Sm: 0.000 0.500 0.500
Sm: 0.500 0.000 0.000
Sm: 0.500 0.000 0.500
Sm: 0.500 0.500 0.316
Sm: 0.500 0.500 0.684
Er: 0.000 0.000 0.000
Er: 0.500 0.500 0.500
Sb: 0.000 0.000 0.367
Sb: 0.000 0.000 0.633
Sb: 0.500 0.500 0.133
Sb: 0.500 0.500 0.867

Computed properties:
Total magnetization (Bohr magnetons per cell): 0.01
Crystal system: tetragonal
Fermi-level density of states (states/eV/f.u.): 6.3
E_tot (eV/atom): -4.393

First-principles (PBE) data for a relaxed structure of Sm2ErSb, as listed in the Alexandria database.

Cell: 4.205 4.205 6.733 Å, 90.00 90.00 90.00°
Fractional positions:
Sm: 0.000 0.000 0.234
Sm: 0.000 0.000 0.766
Er: 0.500 0.500 0.500
Sb: 0.500 0.500 0.000

Computed properties:
Total magnetization (Bohr magnetons per cell): 0.00
Crystal system: tetragonal
Fermi-level density of states (states/eV/f.u.): 4.0
Distance to the lowest polymorph of the same formula (meV per atom): 0

First-principles (PBE) data for a relaxed structure of Sm5ErSb4, as listed in the Alexandria database.

Cell: 9.712 9.712 8.557 Å, 104.78 104.78 25.93°
Fractional positions:
Sm: 0.000 0.000 0.000
Sm: 0.325 0.325 0.151
Sm: 0.335 0.335 0.674
Sm: 0.665 0.665 0.326
Sm: 0.675 0.675 0.849
Er: 0.000 0.000 0.500
Sb: 0.167 0.167 0.587
Sb: 0.494 0.494 0.250
Sb: 0.506 0.506 0.750
Sb: 0.833 0.833 0.413

Computed properties:
Total magnetization (Bohr magnetons per cell): 0.00
Crystal system: monoclinic
Fermi-level density of states (states/eV/f.u.): 6.2
E_tot (eV/atom): -5.232

First-principles (PBE) data for a relaxed structure of SmEr3Sb3, as listed in the Alexandria database.

Cell: 8.015 8.015 8.015 Å, 68.25 68.25 68.25°
Fractional positions:
Sm: 0.166 0.166 0.166
Sm: 0.834 0.834 0.834
Er: 0.154 0.681 0.414
Er: 0.319 0.586 0.846
Er: 0.414 0.154 0.681
Er: 0.586 0.846 0.319
Er: 0.681 0.414 0.154
Er: 0.846 0.319 0.586
Sb: 0.033 0.421 0.797
Sb: 0.203 0.967 0.579
Sb: 0.421 0.797 0.033
Sb: 0.579 0.203 0.967
Sb: 0.797 0.033 0.421
Sb: 0.967 0.579 0.203

Computed properties:
Total magnetization (Bohr magnetons per cell): 0.00
Crystal system: trigonal
Fermi-level density of states (states/eV/f.u.): 4.5
Distance to the lowest polymorph of the same formula (meV per atom): 95

First-principles (PBE) data for a relaxed structure of Sm2ErSb, as listed in the Alexandria database.

Cell: 4.815 4.815 4.869 Å, 90.00 90.00 90.00°
Fractional positions:
Sm: 0.000 0.500 0.000
Sm: 0.500 0.000 0.000
Er: 0.000 0.000 0.500
Sb: 0.500 0.500 0.500

Computed properties:
Total magnetization (Bohr magnetons per cell): 0.00
Crystal system: tetragonal
Fermi-level density of states (states/eV/f.u.): 4.2
Distance to the lowest polymorph of the same formula (meV per atom): 3

First-principles (PBE) data for a relaxed structure of Sm3ErSb2, as listed in the Alexandria database.

Cell: 8.953 8.953 8.953 Å, 133.12 72.46 128.16°
Fractional positions:
Sm: 0.041 0.750 0.291
Sm: 0.250 0.250 0.000
Sm: 0.459 0.750 0.709
Sm: 0.541 0.250 0.291
Sm: 0.750 0.750 0.000
Sm: 0.959 0.250 0.709
Er: 0.000 0.500 0.500
Er: 0.500 0.000 0.500
Sb: 0.145 0.180 0.325
Sb: 0.355 0.680 0.035
Sb: 0.645 0.320 0.965
Sb: 0.855 0.820 0.675

Computed properties:
Total magnetization (Bohr magnetons per cell): 0.33
Crystal system: orthorhombic
Fermi-level density of states (states/eV/f.u.): 7.0
Distance to the lowest polymorph of the same formula (meV per atom): 224

First-principles (PBE) data for a relaxed structure of SmEr3Sb, as listed in the Alexandria database.

Cell: 10.647 3.988 14.361 Å, 90.00 90.00 90.00°
Fractional positions:
Sm: 0.170 0.250 0.028
Sm: 0.330 0.750 0.528
Sm: 0.670 0.250 0.472
Sm: 0.830 0.750 0.972
Er: 0.083 0.250 0.423
Er: 0.113 0.750 0.231
Er: 0.137 0.750 0.815
Er: 0.363 0.250 0.315
Er: 0.387 0.250 0.731
Er: 0.417 0.750 0.923
Er: 0.583 0.250 0.077
Er: 0.613 0.750 0.269
Er: 0.637 0.750 0.685
Er: 0.863 0.250 0.185
Er: 0.887 0.250 0.769
Er: 0.917 0.750 0.577
Sb: 0.129 0.250 0.639
Sb: 0.371 0.750 0.139
Sb: 0.629 0.250 0.861
Sb: 0.871 0.750 0.361

Computed properties:
Total magnetization (Bohr magnetons per cell): 1.35
Crystal system: orthorhombic
Fermi-level density of states (states/eV/f.u.): 7.0
E_tot (eV/atom): -4.889

First-principles (PBE) data for a relaxed structure of SmEr2Sb, as listed in the Alexandria database.

Cell: 3.984 3.984 28.505 Å, 90.00 90.00 120.00°
Fractional positions:
Sm: 0.000 0.000 0.000
Sm: 0.333 0.667 0.667
Sm: 0.667 0.333 0.333
Er: 0.000 0.000 0.567
Er: 0.000 0.000 0.765
Er: 0.333 0.667 0.233
Er: 0.333 0.667 0.432
Er: 0.667 0.333 0.099
Er: 0.667 0.333 0.900
Sb: 0.000 0.000 0.166
Sb: 0.333 0.667 0.832
Sb: 0.667 0.333 0.499

Computed properties:
Total magnetization (Bohr magnetons per cell): 2.14
Crystal system: trigonal
Fermi-level density of states (states/eV/f.u.): 4.4
Distance to the lowest polymorph of the same formula (meV per atom): 270

First-principles (PBE) data for a relaxed structure of Sm5ErSb5, as listed in the Alexandria database.

Cell: 7.632 7.632 8.808 Å, 106.93 106.93 48.32°
Fractional positions:
Sm: 0.000 0.000 0.000
Sm: 0.330 0.330 0.167
Sm: 0.336 0.336 0.669
Sm: 0.664 0.664 0.331
Sm: 0.670 0.670 0.833
Er: 0.000 0.000 0.500
Sb: 0.165 0.165 0.831
Sb: 0.166 0.166 0.336
Sb: 0.500 0.500 0.500
Sb: 0.834 0.834 0.664
Sb: 0.835 0.835 0.169

Computed properties:
Total magnetization (Bohr magnetons per cell): 0.00
Crystal system: monoclinic
Fermi-level density of states (states/eV/f.u.): 6.0
E_tot (eV/atom): -5.406

First-principles (PBE) data for a relaxed structure of SmEr2Sb, as listed in the Alexandria database.

Cell: 4.127 12.271 9.479 Å, 90.00 90.00 90.00°
Fractional positions:
Sm: 0.000 0.057 0.250
Sm: 0.000 0.943 0.750
Sm: 0.500 0.443 0.750
Sm: 0.500 0.557 0.250
Er: 0.000 0.363 0.044
Er: 0.000 0.363 0.456
Er: 0.000 0.637 0.544
Er: 0.000 0.637 0.956
Er: 0.500 0.137 0.544
Er: 0.500 0.137 0.956
Er: 0.500 0.863 0.044
Er: 0.500 0.863 0.456
Sb: 0.000 0.239 0.750
Sb: 0.000 0.761 0.250
Sb: 0.500 0.261 0.250
Sb: 0.500 0.739 0.750

Computed properties:
Total magnetization (Bohr magnetons per cell): 2.47
Crystal system: orthorhombic
Fermi-level density of states (states/eV/f.u.): 6.1
Distance to the lowest polymorph of the same formula (meV per atom): 36

First-principles (PBE) data for a relaxed structure of Sm2Er2Sb5, as listed in the Alexandria database.

Cell: 8.878 8.878 8.239 Å, 90.00 90.00 53.78°
Fractional positions:
Sm: 0.192 0.192 0.000
Sm: 0.308 0.308 0.500
Sm: 0.692 0.692 0.500
Sm: 0.808 0.808 0.000
Er: 0.156 0.844 0.660
Er: 0.344 0.656 0.160
Er: 0.656 0.344 0.840
Er: 0.844 0.156 0.340
Sb: 0.000 0.000 0.000
Sb: 0.009 0.717 0.354
Sb: 0.217 0.509 0.854
Sb: 0.283 0.991 0.354
Sb: 0.491 0.783 0.854
Sb: 0.500 0.500 0.500
Sb: 0.509 0.217 0.146
Sb: 0.717 0.009 0.646
Sb: 0.783 0.491 0.146
Sb: 0.991 0.283 0.646

Computed properties:
Total magnetization (Bohr magnetons per cell): 0.00
Crystal system: orthorhombic
Fermi-level density of states (states/eV/f.u.): 6.3
E_tot (eV/atom): -5.206

First-principles (PBE) data for a relaxed structure of SmEr2Sb, as listed in the Alexandria database.

Cell: 4.582 4.549 11.527 Å, 90.00 101.45 90.00°
Fractional positions:
Sm: 0.194 0.250 0.389
Sm: 0.806 0.750 0.611
Er: 0.060 0.750 0.121
Er: 0.440 0.750 0.880
Er: 0.560 0.250 0.120
Er: 0.940 0.250 0.879
Sb: 0.336 0.250 0.672
Sb: 0.664 0.750 0.328

Computed properties:
Total magnetization (Bohr magnetons per cell): 0.00
Crystal system: monoclinic
Fermi-level density of states (states/eV/f.u.): 5.2
Distance to the lowest polymorph of the same formula (meV per atom): 0

First-principles (PBE) data for a relaxed structure of SmEr4Sb5, as listed in the Alexandria database.

Cell: 11.574 11.574 11.574 Å, 158.20 148.98 38.23°
Fractional positions:
Sm: 0.000 0.000 0.000
Er: 0.201 0.201 0.000
Er: 0.400 0.400 0.000
Er: 0.600 0.600 0.000
Er: 0.799 0.799 0.000
Sb: 0.103 0.603 0.500
Sb: 0.301 0.801 0.500
Sb: 0.500 0.000 0.500
Sb: 0.699 0.199 0.500
Sb: 0.897 0.397 0.500

Computed properties:
Total magnetization (Bohr magnetons per cell): 0.00
Crystal system: orthorhombic
Fermi-level density of states (states/eV/f.u.): 1.9
E_tot (eV/atom): -5.466

First-principles (PBE) data for a relaxed structure of SmEr2Sb, as listed in the Alexandria database.

Cell: 3.956 3.956 7.352 Å, 90.00 90.00 90.00°
Fractional positions:
Sm: 0.000 0.000 0.000
Er: 0.500 0.500 0.280
Er: 0.500 0.500 0.720
Sb: 0.000 0.000 0.500

Computed properties:
Total magnetization (Bohr magnetons per cell): 0.00
Crystal system: tetragonal
Fermi-level density of states (states/eV/f.u.): 4.0
Distance to the lowest polymorph of the same formula (meV per atom): 127

First-principles (PBE) data for a relaxed structure of SmEr3Sb4, as listed in the Alexandria database.

Cell: 6.195 6.195 6.195 Å, 90.00 90.00 90.00°
Fractional positions:
Sm: 0.000 0.000 0.000
Er: 0.000 0.500 0.500
Er: 0.500 0.000 0.500
Er: 0.500 0.500 0.000
Sb: 0.000 0.000 0.500
Sb: 0.000 0.500 0.000
Sb: 0.500 0.000 0.000
Sb: 0.500 0.500 0.500

Computed properties:
Total magnetization (Bohr magnetons per cell): 0.00
Crystal system: cubic
Fermi-level density of states (states/eV/f.u.): 0.5
E_tot (eV/atom): -5.475

Number 1: V 25.8 Å³/atom. Number 2: V 25.0 Å³/atom. Number 3: V 26.4 Å³/atom. Number 4: V 24.8 Å³/atom. Number 5: V 33.9 Å³/atom. Number 6: V 34.3 Å³/atom. Number 7: V 29.8 Å³/atom. Number 8: V 34.1 Å³/atom. Number 9: V 30.5 Å³/atom. Number 10: V 28.2 Å³/atom. Number 11: V 33.6 Å³/atom. Number 12: V 30.5 Å³/atom. Number 13: V 32.7 Å³/atom. Number 14: V 33.0 Å³/atom. Number 15: V 30.0 Å³/atom. Number 16: V 29.1 Å³/atom. Number 17: V 29.4 Å³/atom. Number 18: V 29.6 Å³/atom. Number 19: V 28.8 Å³/atom. Number 20: V 29.7 Å³/atom.